Arrangement P

Computed, not measured: a relaxed Mg2InCo2 crystal at the PBE level of DFT.

Lattice parameters (Å, degrees): 6.4428 6.4428 6.4428 145.00 145.00 50.33
Closest atoms and distances in Å follow each position.
Fractional coordinates of all 5 atoms:
Mg: 0.2500 0.7500 0.5000  4 Co 2.67, 4 Mg 2.74
Mg: 0.7500 0.2500 0.5000  4 Co 2.67, 4 Mg 2.74
In: 0.0000 0.0000 0.0000  8 Co 2.95
Co: 0.4070 0.4070 0.0000  1 Co 2.17
Co: 0.5930 0.5930 0.0000  1 Co 2.17

Arrangement Q

Computed, not measured: a relaxed Mg2InCo2 crystal at the PBE level of DFT.

Lattice parameters (Å, degrees): 6.3947 6.3947 4.0960 90.00 90.00 90.00
Closest atoms and distances in Å follow each position.
Fractional coordinates of all 10 atoms:
Mg: 0.1657 0.3343 0.0000  6 Co 2.77-2.80, 1 Mg 3.00
Mg: 0.3343 0.8343 0.0000  6 Co 2.77-2.80, 1 Mg 3.00
Mg: 0.6657 0.1657 0.0000  6 Co 2.77-2.80, 1 Mg 3.00
Mg: 0.8343 0.6657 0.0000  6 Co 2.77-2.80, 1 Mg 3.00
In: 0.0000 0.0000 0.5000  4 Co 2.54
In: 0.5000 0.5000 0.5000  4 Co 2.54
Co: 0.1229 0.6229 0.5000  1 Co 2.22
Co: 0.3771 0.1229 0.5000  1 Co 2.22
Co: 0.6229 0.8771 0.5000  1 Co 2.22
Co: 0.8771 0.3771 0.5000  1 Co 2.22

Arrangement R

Computed, not measured: a relaxed Mg2InCo2 crystal at the PBE level of DFT.

Lattice parameters (Å, degrees): 7.3641 7.3641 2.9150 90.00 90.00 90.00
Closest atoms and distances in Å follow each position.
Fractional coordinates of all 10 atoms:
Mg: 0.1287 0.3713 0.0000  6 Co 2.56-2.65, 1 Mg 2.68
Mg: 0.3713 0.8713 0.0000  6 Co 2.56-2.65, 1 Mg 2.68
Mg: 0.6287 0.1287 0.0000  6 Co 2.56-2.65, 1 Mg 2.68
Mg: 0.8713 0.6287 0.0000  6 Co 2.56-2.65, 1 Mg 2.68
In: 0.0000 0.0000 0.0000  4 Mg 2.89, 2 In 2.92, 8 Co 3.10
In: 0.5000 0.5000 0.0000  4 Mg 2.89, 2 In 2.92, 8 Co 3.10
Co: 0.1695 0.6695 0.5000  6 Mg 2.56-2.65
Co: 0.3305 0.1695 0.5000  6 Mg 2.56-2.65
Co: 0.6695 0.8305 0.5000  6 Mg 2.56-2.65
Co: 0.8305 0.3305 0.5000  6 Mg 2.56-2.65

Bottom line: arrangement Q, by a margin of 246 meV/atom.